(1)
## Pu2CuPd2 (GGA-PBE)

Data for an optimized crystal structure of Pu2CuPd2.

Unit cell a=4.4356 b=5.5628 c=8.4493 alpha=90.00 beta=90.00 gamma=90.00
Last column: nearest neighbours and their distance in Å.
Space group Immm (No. 71)
One atom of each set of equivalent atoms:
Pu 0.0000 0.0000 0.1930  6 Pd 2.95-3.07, 2 Cu 3.22, 1 Pu 3.26
Cu 0.0000 0.5000 0.0000  4 Pd 2.63
Pd 0.0000 0.2543 0.5000  2 Cu 2.63, 2 Pd 2.73-2.83

ΔE to the lowest computed polymorph: 0.000 eV per atom
Calculated volume: 20.85 Å³ per atom
DFT total energy: -0.329 Ha/atom
Formation enthalpy at 0 K: -0.3294 eV/atom
Crystal system: orthorhombic



(2)
## PuCuPd4 (GGA-PBE)

Data for an optimized crystal structure of PuCuPd4.

Unit cell a=7.5194 b=7.5194 c=7.5194 alpha=90.00 beta=90.00 gamma=90.00
Last column: nearest neighbours and their distance in Å.
Space group F-43m (No. 216)
One atom of each set of equivalent atoms:
Pu 0.0000 0.0000 0.0000  12 Pd 3.12, 4 Cu 3.26
Cu 0.2500 0.2500 0.7500  12 Pd 3.12, 4 Pu 3.26
Pd 0.1246 0.1246 0.3754  6 Pd 2.65-2.67

ΔE to the lowest computed polymorph: 0.053 eV per atom
Calculated volume: 17.72 Å³ per atom
DFT total energy: -0.249 Ha/atom
Formation enthalpy at 0 K: -0.2342 eV/atom
Crystal system: cubic



(3)
## Pu6CuPd5 (GGA-PBE)

Data for an optimized crystal structure of Pu6CuPd5.

Unit cell a=4.8936 b=7.2849 c=14.6834 alpha=90.00 beta=90.00 gamma=90.00
Last column: nearest neighbours and their distance in Å.
Space group Immm (No. 71)
One atom of each set of equivalent atoms:
Pu 0.0000 0.2497 0.0000  6 Pd 3.05, 2 Cu 3.05
Pu 0.0000 0.2500 0.3339  7 Pd 3.04-3.06, 1 Cu 3.04
Cu 0.0000 0.0000 0.5000  8 Pu 3.04-3.05
Pd 0.0000 0.0000 0.1670  8 Pu 3.05
Pd 0.0000 0.5000 0.1664  8 Pu 3.05-3.06
Pd 0.0000 0.5000 0.5000  8 Pu 3.04-3.05

Calculated volume: 21.81 Å³ per atom
DFT total energy: -0.367 Ha/atom
Formation enthalpy at 0 K: -0.3069 eV/atom
Crystal system: orthorhombic



(4)
## Pu3Cu2Pd3 (GGA-PBE)

Data for an optimized crystal structure of Pu3Cu2Pd3.

Unit cell a=4.3360 b=9.7916 c=14.5444 alpha=90.00 beta=90.00 gamma=90.00
Last column: nearest neighbours and their distance in Å.
Space group Cmcm (No. 63)
One atom of each set of equivalent atoms:
Pu 0.0000 0.0116 0.2500  7 Pd 2.84-3.15, 2 Cu 3.08
Pu 0.0000 0.1546 0.0320  3 Cu 2.96-3.06, 5 Pd 3.00-3.18, 3 Pu 3.01-3.17
Cu 0.0000 0.2746 0.6623  1 Cu 2.55, 3 Pd 2.62-2.73
Pd 0.0000 0.3013 0.2500  4 Cu 2.62, 2 Pd 2.76, 1 Pu 2.84
Pd 0.0000 0.4648 0.0957  1 Cu 2.73, 2 Pd 2.76-2.87, 2 Pu 3.00

ΔE to the lowest computed polymorph: 0.017 eV per atom
Calculated volume: 19.30 Å³ per atom
DFT total energy: -0.317 Ha/atom
Formation enthalpy at 0 K: -0.2684 eV/atom
Crystal system: orthorhombic



(5)
## Pu2CuPd6 (GGA-PBE)

Data for an optimized crystal structure of Pu2CuPd6.

Unit cell a=9.8898 b=5.7086 c=5.8117 alpha=90.00 beta=90.08 gamma=90.00
Last column: nearest neighbours and their distance in Å.
Space group C2/m (No. 12)
One atom of each set of equivalent atoms:
Pu 0.1667 0.0000 0.3257  9 Pd 2.96-3.24
Cu 0.0000 0.5000 0.5000  6 Pd 2.50-2.51
Pd 0.0870 0.2400 0.8128  1 Cu 2.50, 4 Pd 2.74-2.78
Pd 0.1736 0.5000 0.1863  1 Cu 2.51, 4 Pd 2.74-2.76

Calculated volume: 18.23 Å³ per atom
DFT total energy: -0.276 Ha/atom
Formation enthalpy at 0 K: -0.3999 eV/atom
Crystal system: monoclinic



(6)
## Pu2Cu3Pd (GGA-PBE)

Data for an optimized crystal structure of Pu2Cu3Pd.

Unit cell a=9.0823 b=5.2556 c=5.3399 alpha=90.00 beta=124.55 gamma=90.00
Last column: nearest neighbours and their distance in Å.
Space group C2/m (No. 12)
One atom of each set of equivalent atoms:
Pu 0.1258 0.0000 0.3773  3 Pd 3.07-3.08, 9 Cu 3.10-3.13, 4 Pu 3.22-3.32
Cu 0.0000 0.5000 0.0000  4 Cu 2.62, 2 Pd 2.67
Cu 0.2500 0.2500 0.0000  4 Cu 2.62-2.63, 2 Pd 2.67
Pd 0.0000 0.5000 0.5000  6 Cu 2.67

Calculated volume: 17.50 Å³ per atom
DFT total energy: -0.289 Ha/atom
Formation enthalpy at 0 K: -0.1774 eV/atom
Crystal system: monoclinic



(7)
## Pu3Cu3Pd (GGA-PBE)

Data for an optimized crystal structure of Pu3Cu3Pd.

Unit cell a=4.4345 b=10.1598 c=12.5758 alpha=90.00 beta=90.00 gamma=90.00
Last column: nearest neighbours and their distance in Å.
Space group Cmcm (No. 63)
One atom of each set of equivalent atoms:
Pu 0.0000 0.0126 0.2500  7 Cu 2.95-3.09, 2 Pd 3.15
Pu 0.0000 0.2738 0.6035  6 Cu 2.94-3.08, 1 Pd 3.07
Cu 0.0000 0.3028 0.2500  2 Cu 2.42
Cu 0.0000 0.4358 0.0906  2 Cu 2.42-2.63, 2 Pd 2.58
Pd 0.0000 0.0000 0.0000  4 Cu 2.58

Calculated volume: 20.24 Å³ per atom
DFT total energy: -0.320 Ha/atom
Formation enthalpy at 0 K: -0.0634 eV/atom
Crystal system: orthorhombic



(8)
## PuCu4Pd8 (GGA-PBE)

Data for an optimized crystal structure of PuCu4Pd8.

Unit cell a=8.9552 b=8.9552 c=5.0049 alpha=90.00 beta=90.00 gamma=90.00
Last column: nearest neighbours and their distance in Å.
Space group I4/mmm (No. 139)
One atom of each set of equivalent atoms:
Pu 0.0000 0.0000 0.0000  12 Pd 3.11-3.17, 8 Cu 3.40
Cu 0.2500 0.2500 0.2500  2 Cu 2.50, 8 Pd 2.58-2.71
Pd 0.0000 0.2166 0.5000  4 Cu 2.58, 6 Pd 2.74-2.88
Pd 0.0000 0.3468 0.0000  4 Cu 2.71, 5 Pd 2.74-2.88

Calculated volume: 15.44 Å³ per atom
DFT total energy: -0.213 Ha/atom
Formation enthalpy at 0 K: -0.2344 eV/atom
Crystal system: tetragonal